*one*
Rh3Cl SCAN PBEsol geometry; D(E_F) = 1.037 states/eV/atom
1.0
-0.487 1.209 -2.436
3.284 -3.036 -0.597
-4.083 -2.614 -0.481
Rh Cl
3 1
direct
0.741 0.482 0.254
0.259 0.518 0.746
0.500 0.000 0.500
0.000 0.000 0.000

---

*two*
Rh3Cl SCAN PBEsol geometry; D(E_F) = 1.252 states/eV/atom
1.0
-1.270 1.611 -1.822
-3.455 0.274 2.651
1.872 3.792 2.047
Rh Cl
3 1
direct
0.500 0.000 0.483
0.500 0.500 0.873
0.000 0.500 0.375
0.000 0.000 0.936

---

*three*
Rh3Cl SCAN PBEsol geometry; D(E_F) = 1.954 states/eV/atom
1.0
-1.128 1.530 3.331
-3.533 -1.381 -0.563
0.975 -3.235 1.816
Rh Cl
3 1
direct
0.500 0.500 0.000
0.500 0.000 0.500
0.000 0.500 0.500
0.000 0.000 0.000

---

Name the most stable of them. *one*.

---

*one*
RuRhCl2 SCAN PBEsol geometry; D(E_F) = 0.966 states/eV/atom
1.0
2.964 0.000 0.000
1.482 2.567 0.000
1.482 0.856 8.686
Ru Rh Cl
1 1 2
direct
0.246 0.246 0.262
0.505 0.505 0.486
0.769 0.769 0.693
0.980 0.980 0.059

---

*two*
RuRhCl2 SCAN PBEsol geometry; D(E_F) = 0.505 states/eV/atom
1.0
-1.861 0.203 2.244
-1.536 -4.307 -0.885
4.959 -1.429 2.339
Rh Ru Cl
1 1 2
direct
0.000 0.500 0.000
0.500 0.000 0.000
0.849 0.785 0.697
0.151 0.215 0.303

---

Name the most stable of them. *two*.